Entry from Alexandria via LeMat-Bulk: an optimized crystal structure of Sm3Dy2Tm4 (GGA-PBE).

Calculated values
E: -0.3292 Ry/atom

Structure (CIF):
```
data_Sm3Dy2Tm4
_symmetry_space_group_name_H-M 'C 1 2/c 1'
_symmetry_Int_Tables_number 15
_cell_length_a 16.350
_cell_length_b 11.529
_cell_length_c 6.061
_cell_angle_alpha 90.00
_cell_angle_beta 96.80
_cell_angle_gamma 90.00
loop_
_symmetry_equiv_pos_as_xyz
'x,y,z'
'-x,-y,-z'
'-x,y,-z+1/2'
'x,-y,z+1/2'
'x+1/2,y+1/2,z'
'-x+1/2,-y+1/2,-z'
'-x+1/2,y+1/2,-z+1/2'
'x+1/2,-y+1/2,z+1/2'
loop_
_atom_site_label
_atom_site_fract_x
_atom_site_fract_y
_atom_site_fract_z
_atom_site_occupancy
Sm1 0.000 0.148 0.250 1
Sm2 0.165 0.351 0.084 1
Dy1 0.106 0.115 0.784 1
Tm1 0.061 0.387 0.543 1
Tm2 0.230 0.113 0.375 1
```